Entry 1:
The following is a DFT calculation (GGA-PBE) of a geometry-optimized Pa2GeMo structure.

Its theoretical density is 12.828 Mg/m³. For the formation energy, the calculation gives -0.2065 eV per atom. The polymorph energy (0 for the lowest one) comes out at 0 meV per atom. For the final energy, the calculation gives -8.817 eV/atom.

The space group is P4/mmm (No. 123) and the conventional cell measures 4.3855, 4.3855 and 4.2446 Å, with angles of 90.00, 90.00 and 90.00 degrees. Symmetry generates all atoms from Pa at (0.0000, 0.5000, 0.0000), Ge at (0.0000, 0.0000, 0.5000) and Mo at (0.5000, 0.5000, 0.5000).

---

Entry 2:
The following is a DFT calculation (GGA-PBE) of a geometry-optimized Li2MgIrO6 structure.

Its theoretical density is 5.340 Mg/m³. The value obtained for the formation energy from raw total energies is -1349 meV per atom. For the final energy, the calculation gives -5.752 eV/atom.

The space group is P2_1/c (No. 14) and the conventional cell measures 5.1400, 5.2791 and 9.0503 Å, with angles of 90.00, 124.25 and 90.00 degrees. Symmetry generates all atoms from Li at (0.2395, 0.0412, 0.2464), Mg at (0.0000, 0.0000, 0.5000), Ir at (0.5000, 0.0000, 0.0000), O at (0.1455, 0.0525, 0.7613), O at (0.2406, 0.6662, 0.5563) and O at (0.4107, 0.1893, 0.5665).

---

Entry 3:
The following is a DFT calculation (GGA-PBE) of a geometry-optimized Ho2Tm2Bi5 structure.

Its theoretical density is 10.439 Mg/m³. For the formation energy, the calculation gives -0.5828 eV per atom. For the final energy, the calculation gives -4.750 eV/atom.

The space group is Cmce (No. 64) and the conventional cell measures 15.8465, 8.1468 and 8.4408 Å, with angles of 90.00, 90.00 and 90.00 degrees. Symmetry generates all atoms from Ho at (0.1926, 0.0000, 0.0000), Tm at (0.0000, 0.1528, 0.3425), Bi at (0.0000, 0.0000, 0.0000) and Bi at (0.1410, 0.1537, 0.6528).

---

Entry 4:
The following is a DFT calculation (GGA-PBE) of a geometry-optimized LaPm3Y6Ho2 structure.

Its theoretical density is 6.048 Mg/m³. For the formation energy, the calculation gives 0.0173 eV per atom. For the final energy, the calculation gives -5.576 eV/atom.

The space group is C2/m (No. 12) and the conventional cell measures 6.2383, 10.8001 and 11.8944 Å, with angles of 90.00, 100.02 and 90.00 degrees. Symmetry generates all atoms from La at (0.0000, 0.0000, 0.0000), Pm at (0.0000, 0.1670, 0.5000), Pm at (0.0000, 0.5000, 0.5000), Y at (0.2493, 0.3327, 0.7505), Y at (0.2487, 0.5000, 0.2496) and Ho at (0.0000, 0.3333, 0.0000).

---

Entry 5:
The following is a DFT calculation (GGA-PBE) of a geometry-optimized TlCu2SeI6 structure.

Its theoretical density is 4.904 Mg/m³. The value obtained for the formation energy from raw total energies is -128 meV per atom. For the final energy, the calculation gives -2.462 eV/atom.

The space group is C2/c (No. 15) and the conventional cell measures 16.6837, 12.4687 and 8.2484 Å, with angles of 90.00, 112.32 and 90.00 degrees. Symmetry generates all atoms from Tl at (0.0000, 0.0593, 0.2500), Cu at (0.2155, 0.4010, 0.1814), Se at (0.0000, 0.2075, 0.7500), I at (0.1248, 0.2129, 0.0945), I at (0.1378, 0.1854, 0.6258) and I at (0.1569, 0.4848, 0.4058).

---

Entry 6:
The following is a DFT calculation (GGA-PBE) of a geometry-optimized CsGa2TcSn structure.

Its theoretical density is 6.071 Mg/m³. For the formation energy, the calculation gives -0.1065 eV per atom. For the final energy, the calculation gives -4.362 eV/atom.

The space group is P4/mmm (No. 123) and the conventional cell measures 5.0719, 5.0719 and 5.2003 Å, with angles of 90.00, 90.00 and 90.00 degrees. Symmetry generates all atoms from Cs at (0.0000, 0.0000, 0.0000), Ga at (0.0000, 0.5000, 0.5000), Tc at (0.5000, 0.5000, 0.5000) and Sn at (0.5000, 0.5000, 0.0000).

---

Entry 7:
The following is a DFT calculation (GGA-PBE) of a geometry-optimized Be2Zn2Ga structure.

Its theoretical density is 5.531 Mg/m³. For the formation energy, the calculation gives 0.2219 eV per atom. The polymorph energy (0 for the lowest one) comes out at 0 meV per atom. For the final energy, the calculation gives -2.384 eV/atom.

The space group is P4/mbm (No. 127) and the conventional cell measures 7.0897, 7.0897 and 2.6110 Å, with angles of 90.00, 90.00 and 90.00 degrees. Symmetry generates all atoms from Be at (0.1119, 0.3881, 0.0000), Zn at (0.1825, 0.6825, 0.5000) and Ga at (0.0000, 0.0000, 0.0000).

---

Entry 8:
The following is a DFT calculation (GGA-PBE) of a geometry-optimized Y2Er5Pu structure.

Its theoretical density is 8.459 Mg/m³. For the formation energy, the calculation gives 0.1890 eV per atom. For the final energy, the calculation gives -6.070 eV/atom.

The space group is P-1 (No. 2) and the conventional cell measures 6.7037, 6.7051 and 11.2372 Å, with angles of 89.64, 89.59 and 77.95 degrees. Symmetry generates all atoms from Y at (0.0000, 0.0000, 0.0000), Y at (0.0000, 0.0000, 0.5000), Y at (0.0000, 0.5000, 0.0000), Y at (0.5000, 0.0000, 0.5000), Er at (0.1881, 0.2221, 0.2631), Er at (0.2222, 0.1887, 0.7632), Er at (0.2489, 0.4827, 0.5188), Er at (0.3072, 0.6927, 0.2500), Er at (0.4831, 0.2488, 0.0191) and Pu at (0.3001, 0.7007, 0.7496).

---

> Number 3 is which compound?

Ho2Tm2Bi5

---

> Number 6 is which compound?

CsGa2TcSn

---

> What is the theoretical density in the second record?

5.340 Mg/m³

---

Copy entry 8 word for word.
The following is a DFT calculation (GGA-PBE) of a geometry-optimized Y2Er5Pu structure.

Its theoretical density is 8.459 Mg/m³. For the formation energy, the calculation gives 0.1890 eV per atom. For the final energy, the calculation gives -6.070 eV/atom.

The space group is P-1 (No. 2) and the conventional cell measures 6.7037, 6.7051 and 11.2372 Å, with angles of 89.64, 89.59 and 77.95 degrees. Symmetry generates all atoms from Y at (0.0000, 0.0000, 0.0000), Y at (0.0000, 0.0000, 0.5000), Y at (0.0000, 0.5000, 0.0000), Y at (0.5000, 0.0000, 0.5000), Er at (0.1881, 0.2221, 0.2631), Er at (0.2222, 0.1887, 0.7632), Er at (0.2489, 0.4827, 0.5188), Er at (0.3072, 0.6927, 0.2500), Er at (0.4831, 0.2488, 0.0191) and Pu at (0.3001, 0.7007, 0.7496).